# TaMn3Te GGA-PBE relaxed
# Uncorrected formation energy = 1.6899 eV per atom
# DFT total energy = -34.1 eV for the cell shown
# Energy above the most stable polymorph in this dataset = 487.5 meV per atom
# N(E_F) = 5.51 states/eV/f.u.
# ρ = 8.76 g/cm³
# Crystal system = cubic
data_TaMn3Te
_space_group_name_H-M_alt 'P m -3 m'
_space_group_IT_number 221
_space_group_name_Hall '-P 4 2 3'
_cell_length_a 4.4771
_cell_length_b 4.4771
_cell_length_c 4.4771
_cell_angle_alpha 90.00
_cell_angle_beta 90.00
_cell_angle_gamma 90.00
loop_
_atom_site_label
_atom_site_type_symbol
_atom_site_fract_x
_atom_site_fract_y
_atom_site_fract_z
_atom_site_occupancy
Ta1 Ta 0.0000 0.0000 0.0000 1
Mn1 Mn 0.0000 0.5000 0.5000 1
Te1 Te 0.5000 0.5000 0.5000 1



# TaMnTe2 GGA-PBE relaxed
# Uncorrected formation energy = 0.5059 eV per atom
# DFT total energy = -50.6 eV for the cell shown
# N(E_F) = 2.69 states/eV/f.u.
# ρ = 9.68 g/cm³
# Crystal system = tetragonal
data_TaMnTe2
_space_group_name_H-M_alt 'I -4 m 2'
_space_group_IT_number 119
_space_group_name_Hall 'I -4 -2'
_cell_length_a 4.0278
_cell_length_b 4.0278
_cell_length_c 10.3882
_cell_angle_alpha 90.00
_cell_angle_beta 90.00
_cell_angle_gamma 90.00
loop_
_atom_site_label
_atom_site_type_symbol
_atom_site_fract_x
_atom_site_fract_y
_atom_site_fract_z
_atom_site_occupancy
Ta1 Ta 0.0000 0.0000 0.0000 1
Mn1 Mn 0.0000 0.5000 0.2500 1
Te1 Te 0.0000 0.0000 0.5000 1
Te2 Te 0.0000 0.5000 0.7500 1



# TaMnTe2 GGA-PBE relaxed
# Uncorrected formation energy = 0.2815 eV per atom
# DFT total energy = -52.4 eV for the cell shown
# N(E_F) = 2.52 states/eV/f.u.
# ρ = 9.07 g/cm³
# Crystal system = monoclinic
data_TaMnTe2
_space_group_name_H-M_alt 'C 1 2/m 1'
_space_group_IT_number 12
_space_group_name_Hall '-C 2y'
_cell_length_a 8.9264
_cell_length_b 3.5474
_cell_length_c 5.7203
_cell_angle_alpha 90.00
_cell_angle_beta 97.07
_cell_angle_gamma 90.00
loop_
_atom_site_label
_atom_site_type_symbol
_atom_site_fract_x
_atom_site_fract_y
_atom_site_fract_z
_atom_site_occupancy
Ta1 Ta 0.0000 0.0000 0.0000 1
Mn1 Mn 0.0000 0.5000 0.5000 1
Te1 Te 0.2156 0.5000 0.2298 1



# Ta2MnTe4 GGA-PBE relaxed
# Uncorrected formation energy = -0.2570 eV per atom
# DFT total energy = -94.5 eV for the cell shown
# N(E_F) = 3.04 states/eV/f.u.
# ρ = 8.94 g/cm³
# Crystal system = monoclinic
data_Ta2MnTe4
_space_group_name_H-M_alt 'C 1 2/m 1'
_space_group_IT_number 12
_space_group_name_Hall '-C 2y'
_cell_length_a 15.2296
_cell_length_b 3.7091
_cell_length_c 6.7464
_cell_angle_alpha 90.00
_cell_angle_beta 115.29
_cell_angle_gamma 90.00
loop_
_atom_site_label
_atom_site_type_symbol
_atom_site_fract_x
_atom_site_fract_y
_atom_site_fract_z
_atom_site_occupancy
Ta1 Ta 0.2452 0.0000 0.1725 1
Mn1 Mn 0.0000 0.5000 0.5000 1
Te1 Te 0.1009 0.5000 0.9480 1
Te2 Te 0.1436 0.0000 0.4756 1



# TaMn2Te GGA-PBE relaxed
# Uncorrected formation energy = 0.2785 eV per atom
# DFT total energy = -64.4 eV for the cell shown
# N(E_F) = 2.73 states/eV/f.u.
# ρ = 10.57 g/cm³
# Crystal system = monoclinic
data_TaMn2Te
_space_group_name_H-M_alt 'C 1 2/m 1'
_space_group_IT_number 12
_space_group_name_Hall '-C 2y'
_cell_length_a 8.9611
_cell_length_b 3.4949
_cell_length_c 4.5051
_cell_angle_alpha 90.00
_cell_angle_beta 111.32
_cell_angle_gamma 90.00
loop_
_atom_site_label
_atom_site_type_symbol
_atom_site_fract_x
_atom_site_fract_y
_atom_site_fract_z
_atom_site_occupancy
Ta1 Ta 0.0000 0.0000 0.0000 1
Mn1 Mn 0.2474 0.5000 0.2422 1
Te1 Te 0.0000 0.5000 0.5000 1



# TaMn2Te GGA-PBE relaxed
# Uncorrected formation energy = 0.4162 eV per atom
# DFT total energy = -95.0 eV for the cell shown
# N(E_F) = 2.83 states/eV/f.u.
# ρ = 9.54 g/cm³
# Crystal system = trigonal
data_TaMn2Te
_space_group_name_H-M_alt 'R 3 m'
_space_group_IT_number 160
_space_group_name_Hall 'R 3 -2"'
_cell_length_a 3.4185
_cell_length_b 3.4185
_cell_length_c 21.5817
_cell_angle_alpha 90.00
_cell_angle_beta 90.00
_cell_angle_gamma 120.00
loop_
_atom_site_label
_atom_site_type_symbol
_atom_site_fract_x
_atom_site_fract_y
_atom_site_fract_z
_atom_site_occupancy
Ta1 Ta 0.0000 0.0000 0.0000 1
Mn1 Mn 0.0000 0.0000 0.2597 1
Mn2 Mn 0.0000 0.0000 0.5277 1
Te1 Te 0.0000 0.0000 0.7655 1



Which value of ρ does entry 1 give?
8.76 g/cm³